Entry from Alexandria via LeMat-Bulk: a relaxed structure of K2NaYMg (PBE).

Cell lengths 6.0736, 6.0736, 5.9826 Å; angles 90.00, 90.00, 90.00 degrees
Last column: nearest neighbours and their distance in Å.
Sites, in units of the cell vectors:
K: 0.0000 0.5000 0.0000  2 Na 3.04
K: 0.5000 0.0000 0.0000  2 Na 3.04
Na: 0.0000 0.0000 0.0000  2 Mg 2.99, 4 K 3.04
Y: 0.5000 0.5000 0.5000  8 K 4.26, 4 Mg 4.29
Mg: 0.0000 0.0000 0.5000  2 Na 2.99

Computed properties:
D(E_F)	5.53	states/eV/cell
density	1613	kg/m³
formation energy from the elements	0.692	eV/atom



Entry from Alexandria via LeMat-Bulk: a relaxed structure of TcOs2Cl (PBE).

Cell lengths 2.8119, 2.8119, 26.0542 Å; angles 90.00, 90.00, 120.00 degrees
Last column: nearest neighbours and their distance in Å.
Sites, in units of the cell vectors:
Tc: 0.0000 0.0000 0.0000  6 Os 2.67, 6 Tc 2.81
Tc: 0.3333 0.6667 0.6667  6 Os 2.67, 6 Tc 2.81
Tc: 0.6667 0.3333 0.3333  6 Os 2.67, 6 Tc 2.81
Os: 0.0000 0.0000 0.2521  3 Tc 2.67, 3 Cl 2.75, 6 Os 2.81
Os: 0.0000 0.0000 0.7479  3 Tc 2.67, 3 Cl 2.75, 6 Os 2.81
Os: 0.3333 0.6667 0.4146  3 Tc 2.67, 3 Cl 2.75, 6 Os 2.81
Os: 0.3333 0.6667 0.9187  3 Tc 2.67, 3 Cl 2.75, 6 Os 2.81
Os: 0.6667 0.3333 0.0813  3 Tc 2.67, 3 Cl 2.75, 6 Os 2.81
Os: 0.6667 0.3333 0.5854  3 Tc 2.67, 3 Cl 2.75, 6 Os 2.81
Cl: 0.0000 0.0000 0.5000  6 Os 2.75, 6 Cl 2.81
Cl: 0.3333 0.6667 0.1667  6 Os 2.75, 6 Cl 2.81
Cl: 0.6667 0.3333 0.8333  6 Os 2.75, 6 Cl 2.81

Computed properties:
energy relative to the elements, uncorrected	11.9	kcal/mol of atoms
D(E_F)	8.81	states/eV/cell
density	14350	kg/m³



Entry from Alexandria via LeMat-Bulk: a relaxed structure of GaSnIrS2 (PBE).

Cell lengths 3.6850, 4.8656, 6.2746 Å; angles 74.45, 74.00, 82.64 degrees
Last column: nearest neighbours and their distance in Å.
Sites, in units of the cell vectors:
Ga: 0.0000 0.0000 0.0000  1 S 2.39, 2 Ir 2.50-2.59
Sn: 0.9214 0.0112 0.5029  2 S 2.79-2.80, 1 Ir 2.89, 1 Ga 3.10
Ir: 0.9380 0.5331 0.8916  4 S 2.39-2.45, 2 Ga 2.50-2.59
S: 0.3253 0.5618 0.1450  2 Ir 2.39-2.45, 1 Ga 2.39
S: 0.5622 0.4977 0.6456  2 Ir 2.39-2.41

Computed properties:
energy relative to the elements, uncorrected	-5.0	kcal/mol of atoms
D(E_F)	1.04	states/eV/cell
density	7101	kg/m³



Entry from Alexandria via LeMat-Bulk: a relaxed structure of YH7Pd5 (PBE).

Cell lengths 5.2246, 5.3063, 5.3571 Å; angles 83.76, 61.82, 75.97 degrees
Last column: nearest neighbours and their distance in Å.
Sites, in units of the cell vectors:
Y: 0.0000 0.0000 0.0000  5 H 2.25-2.44
H: 0.1779 0.6967 0.3258  3 Pd 1.81-1.90
H: 0.3426 0.1840 0.6010  3 Pd 1.83-1.89
H: 0.4363 0.5813 0.7125  2 Pd 1.75-1.79
H: 0.5320 0.1436 0.0093  3 Pd 1.80-1.87
H: 0.6528 0.8427 0.3857  3 Pd 1.79-1.83
H: 0.8406 0.4734 0.0140  3 Pd 1.81-1.87
H: 0.9481 0.1670 0.4210  3 Pd 1.80-1.87
Pd: 0.1365 0.5221 0.6680  4 H 1.79-1.90
Pd: 0.3169 0.9879 0.3527  5 H 1.81-1.90
Pd: 0.4719 0.5051 0.0215  4 H 1.75-1.87
Pd: 0.6552 0.9925 0.6753  4 H 1.80-1.89
Pd: 0.8130 0.5016 0.3624  4 H 1.79-1.96

Computed properties:
D(E_F)	2.77	states/eV/cell
energy	-4.589	eV per atom
density	8212	kg/m³